Material: RbBa2CuC
Method: DFT, PBE-GGA
State: relaxed

Lattice parameters (Å, degrees): 6.655 6.655 3.836 90.00 90.00 90.00
Space group P4/mmm (No. 123)
Inequivalent atoms, fractional coordinates:
Rb 0.000 0.000 0.000
Ba 0.000 0.500 0.500
Cu 0.500 0.500 0.500
C 0.500 0.500 0.000

Values from the calculation:
Mass density: 4.258 g/cm³
Electronic total energy: -2.8438 eV/atom
Magnetization: 0.103 μB per atom